The following is a DFT calculation (PBE) of a geometry-optimized BPt4Au3 structure.

Values from the calculation:
As for the calculated density: 16.39 g/cm3. The uncorrected energy comes out at -39.858 eV/cell. Its crystal system is orthorhombic. Its density of states at the Fermi level is 4.0 states/eV/cell. The total magnetization is 0.00 μB/cell. The formation energy from the elements is 79 kJ/mol of formula units.

Lattice parameters (Å, degrees): 5.7596 5.7596 5.7596 101.29 104.38 123.76
Sites, in units of the cell vectors:
Pt  0.0418  0.7499  0.2920
Pt  0.5421  0.2501  0.2920
Pt  0.2142  0.3130  0.5272
Pt  0.2142  0.6870  0.9012
Au  0.5992  0.7908  0.3900
Au  0.5992  0.2092  0.8084
Au  0.9349  0.0000  0.9349
B  0.0053  0.5000  0.5053

=====

The following is a DFT calculation (PBE) of a geometry-optimized BPt3Au structure.

Values from the calculation:
As for the calculated density: 17.74 g/cm3. The uncorrected energy comes out at -114.546 eV/cell. Its crystal system is monoclinic. Its density of states at the Fermi level is 7.2 states/eV/cell. The total magnetization is 0.00 μB/cell. The formation energy from the elements is -54 kJ/mol of formula units.

Lattice parameters (Å, degrees): 22.9482 5.1226 7.5827 90.00 160.54 90.00
Sites, in units of the cell vectors:
Pt  0.4331  0.0783  0.9787
Pt  0.1863  0.4303  0.4850
Pt  0.3137  0.9303  0.0150
Pt  0.9266  0.0842  0.9778
Pt  0.0669  0.5783  0.5213
Pt  0.4266  0.4158  0.4778
Pt  0.6863  0.0697  0.9850
Pt  0.0734  0.9158  0.0222
Pt  0.5669  0.9217  0.0213
Pt  0.8137  0.5697  0.5150
Pt  0.9331  0.4217  0.4787
Pt  0.5734  0.5842  0.5222
B  0.0611  0.7618  0.2557
B  0.5611  0.7382  0.7557
B  0.9389  0.2382  0.7443
B  0.4389  0.2618  0.2443
Au  0.8162  0.9120  0.0099
Au  0.6838  0.4120  0.4901
Au  0.1838  0.0880  0.9901
Au  0.3162  0.5880  0.5099

=====

The following is a DFT calculation (PBE) of a geometry-optimized BPt3Au structure.

Values from the calculation:
As for the calculated density: 17.55 g/cm3. The uncorrected energy comes out at -57.318 eV/cell. Its crystal system is monoclinic. Its density of states at the Fermi level is 2.8 states/eV/cell. The total magnetization is 0.00 μB/cell. The formation energy from the elements is -56 kJ/mol of formula units.

Lattice parameters (Å, degrees): 5.6170 5.6858 6.4438 90.00 133.19 90.00
Sites, in units of the cell vectors:
B  0.3898  0.7500  0.3403
B  0.6102  0.2500  0.6597
Au  0.4295  0.7500  0.9764
Au  0.5705  0.2500  0.0236
Pt  0.7621  0.4988  0.5082
Pt  0.2379  0.9988  0.4918
Pt  0.7621  0.0012  0.5082
Pt  0.2379  0.5012  0.4918
Pt  0.0831  0.2500  0.0342
Pt  0.9169  0.7500  0.9658

=====

- What is the formula in the first record?
  BPt4Au3

=====

- calculated density of number 1 (BPt4Au3)?
  16.39 g/cm3

=====

Copy entry 3 word for word.
The following is a DFT calculation (PBE) of a geometry-optimized BPt3Au structure.

Values from the calculation:
As for the calculated density: 17.55 g/cm3. The uncorrected energy comes out at -57.318 eV/cell. Its crystal system is monoclinic. Its density of states at the Fermi level is 2.8 states/eV/cell. The total magnetization is 0.00 μB/cell. The formation energy from the elements is -56 kJ/mol of formula units.

Lattice parameters (Å, degrees): 5.6170 5.6858 6.4438 90.00 133.19 90.00
Sites, in units of the cell vectors:
B  0.3898  0.7500  0.3403
B  0.6102  0.2500  0.6597
Au  0.4295  0.7500  0.9764
Au  0.5705  0.2500  0.0236
Pt  0.7621  0.4988  0.5082
Pt  0.2379  0.9988  0.4918
Pt  0.7621  0.0012  0.5082
Pt  0.2379  0.5012  0.4918
Pt  0.0831  0.2500  0.0342
Pt  0.9169  0.7500  0.9658